Record 1
Computed, not measured: Pr6As3Se2Br after structural relaxation at the GGA-PBE level of DFT.

abc: 9.671 9.671 8.667
angles: 103.66 103.66 25.60
Positions (direct):
Pr1 0.002 0.002 0.228
Pr2 0.324 0.324 0.419
Pr3 0.335 0.335 0.910
Pr4 0.665 0.665 0.090
Pr5 0.676 0.676 0.581
Pr6 0.998 0.998 0.772
As1 0.164 0.164 0.334
As2 0.500 0.500 0.000
As3 0.836 0.836 0.666
Se1 0.165 0.165 0.830
Se2 0.835 0.835 0.170
Br1 0.500 0.500 0.500

Crystal system: monoclinic
Formation energy (no corrections), eV per atom: -1.636
Magnetic moment, μB per atom: 0.00
Symmetry: C2/m (12)



Record 2
Computed, not measured: Pr8Si3AsBr4 after structural relaxation at the GGA-PBE level of DFT.

abc: 8.938 8.938 8.938
angles: 57.45 57.45 57.45
Positions (direct):
Pr1 0.232 0.739 0.739
Pr2 0.237 0.237 0.237
Pr3 0.261 0.261 0.768
Pr4 0.261 0.768 0.261
Pr5 0.739 0.232 0.739
Pr6 0.739 0.739 0.232
Pr7 0.763 0.763 0.763
Pr8 0.768 0.261 0.261
Si1 0.000 0.000 0.500
Si2 0.000 0.500 0.000
Si3 0.500 0.000 0.000
As1 0.500 0.500 0.500
Br1 0.000 0.000 0.000
Br2 0.000 0.500 0.500
Br3 0.500 0.000 0.500
Br4 0.500 0.500 0.000

Crystal system: trigonal
Formation energy (no corrections), eV per atom: -1.181
Magnetic moment, μB per atom: 0.00
Symmetry: R-3m (166)



Record 3
Computed, not measured: Pr8SiAs3Br4 after structural relaxation at the GGA-PBE level of DFT.

abc: 8.862 8.862 8.862
angles: 58.20 58.20 58.20
Positions (direct):
Pr1 0.236 0.236 0.236
Pr2 0.244 0.733 0.733
Pr3 0.267 0.267 0.756
Pr4 0.267 0.756 0.267
Pr5 0.733 0.244 0.733
Pr6 0.733 0.733 0.244
Pr7 0.756 0.267 0.267
Pr8 0.764 0.764 0.764
Si1 0.500 0.500 0.500
As1 0.000 0.000 0.500
As2 0.000 0.500 0.000
As3 0.500 0.000 0.000
Br1 0.000 0.000 0.000
Br2 0.000 0.500 0.500
Br3 0.500 0.000 0.500
Br4 0.500 0.500 0.000

Crystal system: trigonal
Formation energy (no corrections), eV per atom: -1.356
Magnetic moment, μB per atom: 0.00
Symmetry: R-3m (166)



Record 4
Computed, not measured: Pr6Si2AsBr3 after structural relaxation at the GGA-PBE level of DFT.

abc: 9.885 9.885 8.897
angles: 105.69 105.69 25.15
Positions (direct):
Pr1 0.012 0.012 0.232
Pr2 0.325 0.325 0.438
Pr3 0.339 0.339 0.890
Pr4 0.661 0.661 0.110
Pr5 0.675 0.675 0.562
Pr6 0.988 0.988 0.768
Si1 0.167 0.167 0.334
Si2 0.833 0.833 0.666
As1 0.500 0.500 0.000
Br1 0.166 0.166 0.833
Br2 0.500 0.500 0.500
Br3 0.834 0.834 0.167

Crystal system: monoclinic
Formation energy (no corrections), eV per atom: -1.210
Magnetic moment, μB per atom: 0.00
Symmetry: C2/m (12)



Record 5
Computed, not measured: Pr6Te3As2Br after structural relaxation at the GGA-PBE level of DFT.

abc: 9.928 9.928 8.956
angles: 103.11 103.11 25.54
Positions (direct):
Pr1 0.013 0.013 0.261
Pr2 0.326 0.326 0.432
Pr3 0.327 0.327 0.885
Pr4 0.673 0.673 0.115
Pr5 0.674 0.674 0.568
Pr6 0.987 0.987 0.739
Te1 0.160 0.160 0.836
Te2 0.500 0.500 0.500
Te3 0.840 0.840 0.164
As1 0.169 0.169 0.336
As2 0.831 0.831 0.664
Br1 0.500 0.500 0.000

Crystal system: monoclinic
Formation energy (no corrections), eV per atom: -1.459
Magnetic moment, μB per atom: 0.00
Symmetry: C2/m (12)



Record 6
Computed, not measured: Pr8Te4As3Br after structural relaxation at the GGA-PBE level of DFT.

abc: 8.938 8.938 8.938
angles: 58.83 58.83 58.83
Positions (direct):
Pr1 0.225 0.749 0.749
Pr2 0.240 0.240 0.240
Pr3 0.251 0.251 0.775
Pr4 0.251 0.775 0.251
Pr5 0.749 0.225 0.749
Pr6 0.749 0.749 0.225
Pr7 0.760 0.760 0.760
Pr8 0.775 0.251 0.251
Te1 0.000 0.000 0.000
Te2 0.000 0.500 0.500
Te3 0.500 0.000 0.500
Te4 0.500 0.500 0.000
As1 0.000 0.000 0.500
As2 0.000 0.500 0.000
As3 0.500 0.000 0.000
Br1 0.500 0.500 0.500

Crystal system: trigonal
Formation energy (no corrections), eV per atom: -1.487
Magnetic moment, μB per atom: 0.00
Symmetry: R-3m (166)



Record 7
Computed, not measured: Pr4Te2AsBr after structural relaxation at the GGA-PBE level of DFT.

abc: 7.705 4.366 7.739
angles: 90.00 108.61 90.00
Positions (direct):
Pr1 0.223 0.000 0.223
Pr2 0.234 0.500 0.768
Pr3 0.766 0.500 0.232
Pr4 0.777 0.000 0.777
Te1 0.500 0.000 0.000
Te2 0.500 0.500 0.500
As1 0.000 0.500 0.000
Br1 0.000 0.000 0.500

Crystal system: monoclinic
Formation energy (no corrections), eV per atom: -1.414
Magnetic moment, μB per atom: 0.00
Symmetry: P2/m (10)



Record 8
Computed, not measured: As2PtBr after structural relaxation at the GGA-PBE level of DFT.

abc: 4.840 4.840 4.079
angles: 90.00 90.00 115.14
Positions (direct):
As1 0.181 0.819 0.000
As2 0.819 0.181 0.000
Pt1 0.000 0.000 0.500
Br1 0.500 0.500 0.500

Crystal system: orthorhombic
Formation energy (no corrections), eV per atom: -0.132
Energy relative to the lowest polymorph listed for this composition, eV per formula unit: 0.658
Magnetic moment, μB per atom: 0.00
Symmetry: Cmmm (65)



Record 9
Computed, not measured: AsPtBr3 after structural relaxation at the GGA-PBE level of DFT.

abc: 5.159 5.159 5.159
angles: 90.00 90.00 90.00
Positions (direct):
As1 0.000 0.000 0.000
Pt1 0.500 0.500 0.500
Br1 0.000 0.500 0.500
Br2 0.500 0.000 0.500
Br3 0.500 0.500 0.000

Crystal system: cubic
Formation energy (no corrections), eV per atom: 0.435
Energy relative to the lowest polymorph listed for this composition, eV per formula unit: 0.000
Magnetic moment, μB per atom: 0.37
Symmetry: Pm-3m (221)



Record 10
Computed, not measured: AsPtBr2 after structural relaxation at the GGA-PBE level of DFT.

abc: 4.570 4.570 7.294
angles: 105.93 105.93 45.26
Positions (direct):
As1 0.000 0.000 0.000
Pt1 0.500 0.500 0.500
Br1 0.158 0.158 0.725
Br2 0.842 0.842 0.275

Crystal system: monoclinic
Formation energy (no corrections), eV per atom: 0.411
Energy relative to the lowest polymorph listed for this composition, eV per formula unit: 2.982
Magnetic moment, μB per atom: 0.00
Symmetry: C2/m (12)



Record 11
Computed, not measured: As2PtBr after structural relaxation at the GGA-PBE level of DFT.

abc: 3.975 3.975 7.741
angles: 105.27 105.27 60.47
Positions (direct):
As1 0.115 0.115 0.354
As2 0.885 0.885 0.646
Pt1 0.500 0.500 0.500
Br1 0.000 0.000 0.000

Crystal system: monoclinic
Formation energy (no corrections), eV per atom: -0.296
Energy relative to the lowest polymorph listed for this composition, eV per formula unit: 0.000
Magnetic moment, μB per atom: 0.00
Symmetry: C2/m (12)



Record 12
Computed, not measured: AsPtBr2 after structural relaxation at the GGA-PBE level of DFT.

abc: 3.539 4.082 6.281
angles: 90.00 90.19 90.00
Positions (direct):
As1 0.000 0.000 0.000
Pt1 0.000 0.000 0.500
Br1 0.500 0.500 0.000
Br2 0.500 0.500 0.500

Crystal system: monoclinic
Formation energy (no corrections), eV per atom: 0.454
Energy relative to the lowest polymorph listed for this composition, eV per formula unit: 3.152
Magnetic moment, μB per atom: 0.00
Symmetry: P2/m (10)